(1)
Here is a geometry-optimized HfNiBW structure from the Open Quantum Materials Database. Energies are from PBE.

Unit cell a=5.993 b=5.993 c=5.993 alpha=90.00 beta=90.00 gamma=90.00
Space group F-43m (No. 216)
Unique sites:
Hf: 0.000 0.000 0.000 [4 per cell]
Ni: 0.250 0.250 0.250 [4 per cell]
B: 0.250 0.250 0.750 [4 per cell]
W: 0.000 0.000 0.500 [4 per cell]

## Properties
ΔE to the lowest computed polymorph in meV/atom: 0

=====

(2)
Here is a geometry-optimized SmPbAuSe3 structure from the Open Quantum Materials Database. Energies are from PBE.

Unit cell a=13.869 b=4.146 c=11.204 alpha=90.00 beta=90.00 gamma=90.00
Space group Pnma (No. 62)
Unique sites:
Sm: 0.008 0.250 0.174 [4 per cell]
Pb: 0.219 0.250 0.445 [4 per cell]
Au: 0.004 0.750 0.405 [4 per cell]
Se: 0.110 0.250 0.941 [4 per cell]
Se: 0.124 0.750 0.622 [4 per cell]
Se: 0.146 0.750 0.251 [4 per cell]

## Properties
ΔE to the lowest computed polymorph in meV/atom: 6